Entry 1:
Entry from the Alexandria database: an optimized crystal structure of Dy3LuH (PBE-GGA).

Magnetic moment in μB/cell: 0.00
ρ in Mg/m³: 9.05
DOS(E_F) in states/eV per atom: 1.098
Space-group type: No. 221
Uncorrected energy in eV per atom: -4.49

Cell: 4.9555 4.9555 4.9555 Å, 90.00 90.00 90.00°
Sites, in units of the cell vectors:
Lu  0.5000  0.5000  0.5000
H  0.0000  0.0000  0.0000
Dy  0.5000  0.0000  0.0000
Dy  0.0000  0.5000  0.0000
Dy  0.0000  0.0000  0.5000

---

Entry 2:
Entry from the Alexandria database: an optimized crystal structure of DyMgH (PBE-GGA).

Magnetic moment in μB/cell: 0.29
ρ in Mg/m³: 5.09
DOS(E_F) in states/eV per atom: 0.712
Space-group type: No. 107
Uncorrected energy in eV per atom: -3.21
Energy above the lowest structure with this stoichiometry in meV per atom: 119

Cell: 3.2024 3.2024 6.3936 Å, 104.50 104.50 90.00°
Each line ends with the local moment (μB).
Sites, in units of the cell vectors:
H  0.2520  0.2520  0.5040  0.00
Dy  0.7326  0.7326  0.4653  0.25
Mg  0.0154  0.0154  0.0307  0.00

---

Entry 3:
Entry from the Alexandria database: an optimized crystal structure of Dy3Mg5H12 (PBE-GGA).

Magnetic moment in μB/cell: 0.00
ρ in Mg/m³: 4.57
DOS(E_F) in states/eV per atom: 0.243
Space-group type: No. 230
Uncorrected energy in eV per atom: -3.35

Cell: 10.5475 10.5475 10.5475 Å, 109.47 109.47 109.47°
Sites, in units of the cell vectors:
H  0.9122  0.8302  0.5490
H  0.9510  0.5878  0.1698
H  0.2187  0.5490  0.6367
H  0.1698  0.0820  0.7187
H  0.3302  0.7813  0.4180
H  0.7187  0.1367  0.0490
H  0.3302  0.5490  0.4122
H  0.0820  0.1698  0.2187
H  0.5878  0.9510  0.6698
H  0.3633  0.4122  0.0820
H  0.6698  0.2187  0.5820
H  0.0878  0.1698  0.4510
H  0.4122  0.0490  0.3302
H  0.0878  0.9180  0.1367
H  0.0490  0.4122  0.8302
H  0.4180  0.2813  0.3302
H  0.4510  0.6698  0.0878
H  0.4122  0.3633  0.5820
H  0.5820  0.8633  0.4122
H  0.8633  0.2813  0.4510
H  0.8302  0.9180  0.2813
H  0.9180  0.8302  0.7813
H  0.7187  0.5820  0.1698
H  0.9510  0.3633  0.2813
H  0.5820  0.7187  0.6698
H  0.7813  0.3302  0.9180
H  0.7813  0.4510  0.3633
H  0.5490  0.2187  0.1367
H  0.4180  0.1367  0.5878
H  0.8633  0.5820  0.9122
H  0.9122  0.0820  0.8633
H  0.2187  0.6698  0.0820
H  0.6698  0.4510  0.5878
H  0.2813  0.4180  0.8302
H  0.3633  0.9510  0.7813
H  0.5490  0.3302  0.9122
H  0.6367  0.0490  0.2187
H  0.1698  0.0878  0.9510
H  0.2813  0.8633  0.9510
H  0.9180  0.0878  0.6367
H  0.1367  0.7187  0.5490
H  0.6367  0.5878  0.9180
H  0.4510  0.7813  0.8633
H  0.0490  0.6367  0.7187
H  0.0820  0.9122  0.3633
H  0.8302  0.9122  0.0490
H  0.1367  0.4180  0.0878
H  0.5878  0.6367  0.4180
Mg  0.1250  0.7500  0.3750
Mg  0.6250  0.7500  0.8750
Mg  0.8750  0.2500  0.6250
Mg  0.0000  0.0000  0.5000
Mg  0.3750  0.2500  0.1250
Mg  0.2500  0.3750  0.6250
Mg  0.5000  0.0000  0.5000
Mg  0.5000  0.0000  0.0000
Mg  0.0000  0.0000  0.0000
Mg  0.0000  0.5000  0.5000
Mg  0.1250  0.3750  0.2500
Mg  0.8750  0.6250  0.7500
Mg  0.7500  0.1250  0.8750
Mg  0.6250  0.8750  0.2500
Mg  0.2500  0.8750  0.1250
Mg  0.3750  0.1250  0.7500
Mg  0.7500  0.6250  0.3750
Mg  0.5000  0.5000  0.0000
Mg  0.5000  0.5000  0.5000
Mg  0.0000  0.5000  0.0000
Dy  0.1250  0.8750  0.7500
Dy  0.2500  0.6250  0.8750
Dy  0.7500  0.3750  0.1250
Dy  0.1250  0.2500  0.8750
Dy  0.2500  0.1250  0.3750
Dy  0.8750  0.1250  0.2500
Dy  0.7500  0.8750  0.6250
Dy  0.6250  0.2500  0.3750
Dy  0.8750  0.7500  0.1250
Dy  0.6250  0.3750  0.7500
Dy  0.3750  0.7500  0.6250
Dy  0.3750  0.6250  0.2500

---

Entry 4:
Entry from the Alexandria database: an optimized crystal structure of Dy2MgH8 (PBE-GGA).

Magnetic moment in μB/cell: 0.00
ρ in Mg/m³: 6.19
Space-group type: No. 71
Uncorrected energy in eV per atom: -3.89

Cell: 3.6976 4.7568 6.2245 Å, 112.46 107.28 90.00°
Sites, in units of the cell vectors:
H  0.0000  0.2538  0.0000
H  0.3590  0.6008  0.7180
H  0.6410  0.3992  0.2820
H  0.6410  0.8828  0.2820
H  0.3590  0.1172  0.7180
H  0.8033  0.8033  0.6066
H  0.0000  0.7462  0.0000
H  0.1967  0.1967  0.3934
Mg  0.5000  0.0000  0.0000
Dy  0.8280  0.3280  0.6561
Dy  0.1720  0.6720  0.3439

---

Entry 5:
Entry from the Alexandria database: an optimized crystal structure of DyMgH (PBE-GGA).

Magnetic moment in μB/cell: 0.00
ρ in Mg/m³: 5.01
DOS(E_F) in states/eV per atom: 0.742
Space-group type: No. 156
Uncorrected energy in eV per atom: -3.33
Energy above the lowest structure with this stoichiometry in meV per atom: 0

Cell: 3.5510 3.5510 5.6999 Å, 90.00 90.00 120.00°
Sites, in units of the cell vectors:
Mg  0.0000  0.0000  0.9733
Dy  0.6667  0.3333  0.4698
H  0.3333  0.6667  0.5570

---

Entry 6:
Entry from the Alexandria database: an optimized crystal structure of Dy2MgH (PBE-GGA).

Magnetic moment in μB/cell: 0.00
ρ in Mg/m³: 6.55
DOS(E_F) in states/eV per atom: 0.980
Space-group type: No. 166
Uncorrected energy in eV per atom: -3.70

Cell: 3.5628 3.5628 8.3405 Å, 77.67 77.67 60.00°
Sites, in units of the cell vectors:
Dy  0.2772  0.2772  0.1683
Dy  0.7228  0.7228  0.8317
H  0.0000  0.0000  0.0000
Mg  0.5000  0.5000  0.5000